(1)
Density functional theory data (PBE) for PdPbSeO after structural relaxation.

abc: 4.5912 4.5912 7.9248
angles: 90.00 90.00 90.00
Fractional coordinates of all 8 atoms:
O: 0.7500 0.7500 0.4839
O: 0.2500 0.2500 0.5161
Pb: 0.7500 0.2500 0.0000
Pb: 0.2500 0.7500 0.0000
Pd: 0.7500 0.7500 0.2151
Pd: 0.2500 0.2500 0.7849
Se: 0.2500 0.2500 0.3015
Se: 0.7500 0.7500 0.6985

Computed properties:
Offset from the most stable computed form   520 meV/atom

(2)
Density functional theory data (PBE) for PdPbSeO after structural relaxation.

abc: 6.4709 8.2503 5.9863
angles: 90.00 90.00 90.00
Fractional coordinates of all 16 atoms:
O: 0.0897 0.0925 0.0824
O: 0.5897 0.9075 0.0824
O: 0.4103 0.0925 0.5824
O: 0.9103 0.9075 0.5824
Pb: 0.0605 0.1508 0.4762
Pb: 0.5605 0.8492 0.4762
Pb: 0.4395 0.1508 0.9762
Pb: 0.9395 0.8492 0.9762
Pd: 0.5846 0.3160 0.4950
Pd: 0.0846 0.6840 0.4950
Pd: 0.9154 0.3160 0.9950
Pd: 0.4154 0.6840 0.9950
Se: 0.1864 0.4964 0.1964
Se: 0.6864 0.5036 0.1964
Se: 0.3136 0.4964 0.6964
Se: 0.8136 0.5036 0.6964

Computed properties:
Offset from the most stable computed form   73 meV/atom

(3)
Density functional theory data (PBE) for PdPbSeO after structural relaxation.

abc: 4.6322 9.0031 8.1910
angles: 90.00 90.00 90.00
Fractional coordinates of all 16 atoms:
O: 0.7429 0.1835 0.0921
O: 0.2571 0.6835 0.4079
O: 0.7571 0.8165 0.5921
O: 0.2429 0.3165 0.9079
Pb: 0.2368 0.0926 0.0347
Pb: 0.7632 0.5926 0.4653
Pb: 0.2632 0.9074 0.5347
Pb: 0.7368 0.4074 0.9653
Pd: 0.2511 0.6958 0.1536
Pd: 0.7489 0.1958 0.3464
Pd: 0.2489 0.3042 0.6536
Pd: 0.7511 0.8042 0.8464
Se: 0.7501 0.7903 0.1461
Se: 0.2499 0.2903 0.3539
Se: 0.7499 0.2097 0.6461
Se: 0.2501 0.7097 0.8539

Computed properties:
Offset from the most stable computed form   0 meV/atom

(4)
Density functional theory data (PBE) for TaPdPb2O6 after structural relaxation.

abc: 5.6589 5.6589 5.6589
angles: 61.06 61.06 61.06
Fractional coordinates of all 10 atoms:
O: 0.7624 0.3030 0.1834
O: 0.6970 0.8166 0.2376
O: 0.1834 0.7624 0.3030
O: 0.8166 0.2376 0.6970
O: 0.3030 0.1834 0.7624
O: 0.2376 0.6970 0.8166
Pb: 0.2490 0.2490 0.2490
Pb: 0.7510 0.7510 0.7510
Pd: 0.5000 0.5000 0.5000
Ta: 0.0000 0.0000 0.0000

Computed properties:
Offset from the most stable computed form   0 meV/atom

(5)
Density functional theory data (PBE) for TaPdPb2O6 after structural relaxation.

abc: 5.7179 5.7179 5.7179
angles: 120.21 120.21 89.65
Fractional coordinates of all 10 atoms:
O: 0.2439 0.2439 0.0000
O: 0.7551 0.2449 0.0000
O: 0.2449 0.7551 0.0000
O: 0.7561 0.7561 0.0000
O: 0.2449 0.2449 0.4898
O: 0.7551 0.7551 0.5103
Pb: 0.7500 0.2500 0.5000
Pb: 0.2500 0.7500 0.5000
Pd: 0.5000 0.5000 0.0000
Ta: 0.0000 0.0000 0.0000

Computed properties:
Offset from the most stable computed form   26 meV/atom

(6)
Density functional theory data (PBE) for TbPdPb2O6 after structural relaxation.

abc: 5.7908 5.8284 9.9831
angles: 90.00 125.00 90.00
Fractional coordinates of all 20 atoms:
O: 0.3610 0.7183 0.0490
O: 0.2771 0.1951 0.0535
O: 0.8331 0.0263 0.2343
O: 0.1669 0.5263 0.2657
O: 0.7229 0.6951 0.4465
O: 0.6390 0.2183 0.4510
O: 0.3610 0.7817 0.5490
O: 0.2771 0.3049 0.5535
O: 0.8331 0.4737 0.7343
O: 0.1669 0.9737 0.7657
O: 0.7229 0.8049 0.9465
O: 0.6390 0.2817 0.9510
Pb: 0.7359 0.4594 0.2473
Pb: 0.2641 0.9594 0.2527
Pb: 0.7359 0.0406 0.7473
Pb: 0.2641 0.5406 0.7527
Pd: 0.5000 0.0000 0.0000
Pd: 0.5000 0.5000 0.5000
Tb: 0.0000 0.5000 0.0000
Tb: 0.0000 0.0000 0.5000

Computed properties:
Electronic total energy   -6.08 eV per atom

(7)
Density functional theory data (PBE) for TcPdPb2O6 after structural relaxation.

abc: 5.6799 5.6799 5.6799
angles: 60.00 60.00 60.00
Fractional coordinates of all 10 atoms:
O: 0.2412 0.7588 0.2412
O: 0.7588 0.7588 0.2412
O: 0.7588 0.2412 0.2412
O: 0.7588 0.2412 0.7588
O: 0.2412 0.2412 0.7588
O: 0.2412 0.7588 0.7588
Pb: 0.2500 0.2500 0.2500
Pb: 0.7500 0.7500 0.7500
Pd: 0.5000 0.5000 0.5000
Tc: 0.0000 0.0000 0.0000

Computed properties:
Electronic total energy   -6.14 eV per atom

(8)
Density functional theory data (PBE) for Pm2Pb2O5 after structural relaxation.

abc: 8.4930 4.4048 4.4048
angles: 90.00 90.00 90.00
Fractional coordinates of all 9 atoms:
O: 0.1821 0.5000 0.0000
O: 0.8179 0.5000 0.0000
O: 0.1821 0.0000 0.5000
O: 0.8179 0.0000 0.5000
O: 0.5000 0.5000 0.5000
Pb: 0.0000 0.0000 0.0000
Pb: 0.5000 0.0000 0.0000
Pm: 0.2408 0.5000 0.5000
Pm: 0.7592 0.5000 0.5000

Computed properties:
Electronic total energy   -6.64 eV per atom

(9)
Density functional theory data (PBE) for PrPbO3 after structural relaxation.

abc: 6.2425 6.2425 6.2425
angles: 118.92 88.96 122.31
Fractional coordinates of all 10 atoms:
O: 0.1508 0.5000 0.1508
O: 0.5710 0.3210 0.2500
O: 0.8492 0.0000 0.3492
O: 0.1508 0.0000 0.6508
O: 0.4290 0.6790 0.7500
O: 0.8492 0.5000 0.8492
Pb: 0.2002 0.9502 0.2500
Pb: 0.7998 0.0498 0.7500
Pr: 0.5000 0.5000 0.0000
Pr: 0.0000 0.5000 0.5000

Computed properties:
Electronic total energy   -6.63 eV per atom

What is the formula in the third record? PdPbSeO